{"formula": "ScICl", "functional": "PBE", "state": "relaxed", "rho_g_cm3": 3.61, "dos_at_fermi_per_ev_atom": 0.074, "total_magnetization_mub_per_cell": 2.0, "e_above_lowest_polymorph_mev_per_atom": 0, "e_form_raw_ev_per_atom": -1.496, "cell": [[3.847, 0.000, -0.012], [0.003, 6.440, 0.801], [1.843, 3.349, 8.105]], "species": ["Cl", "Cl", "I", "I", "Sc", "Sc"], "frac_coords": [[0.670, 0.976, 0.669], [0.330, 0.024, 0.331], [0.120, 0.407, 0.775], [0.880, 0.593, 0.225], [0.251, 0.282, 0.497], [0.749, 0.718, 0.503]]}

{"formula": "Sc3ICl7", "functional": "PBE", "state": "relaxed", "rho_g_cm3": 2.48, "dos_at_fermi_per_ev_atom": 0.479, "total_magnetization_mub_per_cell": 1.1, "e_form_raw_ev_per_atom": -1.937, "cell": [[6.927, 0.000, 0.000], [0.000, 6.537, -3.774], [0.000, 0.000, 7.548]], "species": ["Sc", "Sc", "Sc", "Cl", "Cl", "Cl", "Cl", "Cl", "Cl", "Cl", "I"], "frac_coords": [[0.789, 0.502, 0.003], [0.789, 0.997, 0.498], [0.789, 0.502, 0.498], [0.593, 0.824, 0.647], [0.593, 0.353, 0.176], [0.593, 0.824, 0.176], [0.985, 0.646, 0.823], [0.985, 0.177, 0.354], [0.007, 0.667, 0.333], [0.985, 0.177, 0.823], [0.507, 0.333, 0.667]]}

{"formula": "ScICl", "functional": "PBE", "state": "relaxed", "rho_g_cm3": 3.71, "dos_at_fermi_per_ev_atom": 0.682, "total_magnetization_mub_per_cell": 0.0, "e_above_lowest_polymorph_mev_per_atom": 14, "e_form_raw_ev_per_atom": -1.483, "cell": [[-1.734, -1.958, 2.815], [-5.066, -2.700, -4.933], [8.164, -2.671, 3.102]], "species": ["I", "I", "Sc", "Sc", "Cl", "Cl"], "frac_coords": [[0.997, 0.550, 0.287], [0.003, 0.450, 0.713], [0.000, 0.000, 0.000], [0.500, 0.500, 0.500], [0.498, 0.989, 0.800], [0.502, 0.011, 0.200]]}

{"formula": "SrScICl2", "functional": "PBE", "state": "relaxed", "rho_g_cm3": 3.58, "dos_at_fermi_per_ev_atom": 0.987, "total_magnetization_mub_per_cell": 1.4, "e_form_raw_ev_per_atom": -1.329, "cell": [[5.075, 0.000, 0.000], [0.000, 5.950, 0.000], [0.000, 0.000, 5.075]], "species": ["I", "Cl", "Cl", "Sc", "Sr"], "frac_coords": [[0.000, 0.500, 0.000], [0.500, 0.000, 0.000], [0.000, 0.000, 0.500], [0.000, 0.000, 0.000], [0.500, 0.500, 0.500]]}

{"formula": "ScTa2ICl", "functional": "PBE", "state": "relaxed", "rho_g_cm3": 8.91, "dos_at_fermi_per_ev_atom": 0.881, "total_magnetization_mub_per_cell": 0.0, "e_form_raw_ev_per_atom": 0.799, "cell": [[-2.079, 1.546, 3.797], [3.153, -2.702, 2.827], [2.912, 3.553, 0.148]], "species": ["I", "Cl", "Ta", "Ta", "Sc"], "frac_coords": [[0.500, 0.500, 0.500], [0.000, 0.000, 0.000], [0.000, 0.000, 0.500], [0.500, 0.000, 0.000], [0.000, 0.500, 0.000]]}

{"formula": "ScTe2ICl", "functional": "PBE", "state": "relaxed", "rho_g_cm3": 4.43, "dos_at_fermi_per_ev_atom": 1.394, "total_magnetization_mub_per_cell": 0.7, "e_above_lowest_polymorph_mev_per_atom": 0, "e_form_raw_ev_per_atom": -0.295, "cell": [[5.580, 0.000, 0.000], [0.000, 5.580, 0.000], [0.000, 0.000, 5.563]], "species": ["I", "Te", "Te", "Sc", "Cl"], "frac_coords": [[0.000, 0.000, 0.500], [0.000, 0.500, 0.000], [0.500, 0.000, 0.000], [0.000, 0.000, 0.000], [0.500, 0.500, 0.500]]}